Here is an optimized crystal structure of NiI2OF from the Alexandria database. Energies are from GGA+U.

Unit cell a=5.648 b=5.648 c=3.425 alpha=90.00 beta=90.00 gamma=90.00
Space group P4/mmm (No. 123)
Symmetry-distinct sites (fractional):
Ni: 0.000 0.000 0.000 x1
I: 0.000 0.500 0.000 x2
O: 0.000 0.000 0.500 x1
F: 0.500 0.500 0.500 x1

Computed properties:
Its energy above the lowest structure with this stoichiometry is 0.000 eV/atom. For the total moment, the calculation gives 0.46 μB/atom.